--- P ---
## SrY2Ag (PBE)

Data for a relaxed structure of SrY2Ag.

The structure in POSCAR format:
```
SrY2Ag
1.0
-6.1010 6.1993 -2.3503
0.9675 -2.3273 -8.6501
-5.0074 -0.3376 -5.1615
Ag Y Sr
2 4 2
direct
0.7500 0.2500 0.5000
0.0000 0.0000 0.0000
0.3750 0.3077 0.7500
0.6923 0.1250 0.2500
0.0577 0.6250 0.2500
0.8750 0.9423 0.7500
0.2500 0.7500 0.5000
0.5000 0.5000 0.0000
```

--- Q ---
## SrY2Ag (PBE)

Data for a relaxed structure of SrY2Ag.

The structure in POSCAR format:
```
SrY2Ag
1.0
3.9598 0.0000 0.0000
0.0000 5.4955 0.0000
0.0000 0.0000 5.7133
Ag Y Sr
1 2 1
direct
0.5000 0.0000 0.5000
0.5000 0.5000 0.0000
0.0000 0.0000 0.0000
0.0000 0.5000 0.5000
```

Q is preferred energetically. Next in line: 3.3 kJ/mol of atoms higher.

--- P ---
## SrYAg (PBE)

Data for a relaxed structure of SrYAg.

The structure in POSCAR format:
```
SrYAg
1.0
5.2641 0.0000 0.0000
2.6320 4.5588 0.0000
2.6320 1.5196 4.2981
Y Sr Ag
1 1 1
direct
0.5000 0.5000 0.5000
0.0000 0.0000 0.0000
0.7500 0.7500 0.7500
```

--- Q ---
## SrYAg (PBE)

Data for a relaxed structure of SrYAg.

The structure in POSCAR format:
```
SrYAg
1.0
5.1322 0.0000 0.0000
-2.5661 4.4447 0.0000
0.0000 0.0000 4.4202
Y Sr Ag
1 1 1
direct
0.3333 0.6667 0.8324
0.6667 0.3333 0.3329
0.0000 0.0000 0.8347
```

--- R ---
## SrYAg (PBE)

Data for a relaxed structure of SrYAg.

The structure in POSCAR format:
```
SrYAg
1.0
-6.0765 -2.9599 2.7348
-3.5738 -3.1109 5.5414
-1.7698 2.8363 1.7282
Ag Sr Y
1 1 1
direct
0.0167 0.0167 0.9833
0.3540 0.3540 0.6460
0.6293 0.6293 0.3707
```

R is preferred energetically. Next in line: 17.6 kJ/mol of atoms higher.

--- P ---
## SrY2Ag2 (PBE)

Data for a relaxed structure of SrY2Ag2.

The structure in POSCAR format:
```
SrY2Ag2
1.0
-7.0824 -2.8731 -3.9570
4.8092 -2.8312 -6.5520
0.3987 -3.4230 1.7718
Y Ag Sr
4 4 2
direct
0.1541 0.6541 0.5000
0.6541 0.8459 0.5000
0.3459 0.1541 0.5000
0.8459 0.3459 0.5000
0.6289 0.1289 0.0000
0.8711 0.6289 0.0000
0.1289 0.3711 0.0000
0.3711 0.8711 0.0000
0.0000 0.0000 0.0000
0.5000 0.5000 0.0000
```

--- Q ---
## SrY2Ag2 (PBE)

Data for a relaxed structure of SrY2Ag2.

The structure in POSCAR format:
```
SrY2Ag2
1.0
-5.5709 -6.7999 -1.2072
6.8968 -5.3968 -1.4278
0.1417 -0.7226 3.4159
Sr Ag Y
2 4 4
direct
0.0000 0.0000 0.0000
0.5000 0.5000 0.0000
0.8404 0.3404 0.5000
0.6596 0.8404 0.5000
0.1596 0.6596 0.5000
0.3404 0.1596 0.5000
0.8657 0.6343 0.0000
0.1343 0.3657 0.0000
0.6343 0.1343 0.0000
0.3657 0.8657 0.0000
```

--- R ---
## SrY2Ag2 (PBE)

Data for a relaxed structure of SrY2Ag2.

The structure in POSCAR format:
```
SrY2Ag2
1.0
-3.5621 -1.0409 -2.9884
1.8545 -4.3326 -0.7013
-4.4897 -5.0795 3.3224
Sr Ag Y
1 2 2
direct
0.0000 0.0000 0.0000
0.6044 0.6044 0.7912
0.3956 0.3956 0.2088
0.7500 0.2500 0.5000
0.2500 0.7500 0.5000
```

P is preferred energetically. Next in line: 3.0 kJ/mol of atoms higher.

--- P ---
## Sr4ZnAg (PBE)

Data for a relaxed structure of Sr4ZnAg.

The structure in POSCAR format:
```
Sr4ZnAg
1.0
4.0018 -0.0008 0.0001
0.0008 4.0018 0.0001
-0.0009 -0.0009 14.0889
Sr Zn Ag
4 1 1
direct
0.4999 0.4999 0.8661
0.9999 0.9999 0.6346
0.0001 0.0001 0.3654
0.5001 0.5001 0.1339
0.0000 0.0000 0.0000
0.5000 0.5000 0.5000
```

--- Q ---
## Sr4ZnAg (PBE)

Data for a relaxed structure of Sr4ZnAg.

The structure in POSCAR format:
```
Sr4ZnAg
1.0
-3.0556 1.6546 -4.3600
2.4420 -3.8764 -3.1823
-5.5839 -5.1348 1.9605
Zn Sr Ag
1 4 1
direct
0.0010 0.9978 0.4982
0.5012 0.9968 0.2511
0.0012 0.4970 0.2511
0.0015 0.4975 0.7451
0.5014 0.9975 0.7451
0.5014 0.4971 0.9982
```

P is preferred energetically. Next in line: 8.7 kJ/mol of atoms higher.

--- P ---
## SrZnAg4 (PBE)

Data for a relaxed structure of SrZnAg4.

The structure in POSCAR format:
```
SrZnAg4
1.0
5.6787 0.0000 0.0000
2.8394 4.9179 0.0000
2.8394 1.6393 4.6367
Ag Zn Sr
4 1 1
direct
0.1231 0.6256 0.6256
0.6256 0.6256 0.1231
0.6256 0.1231 0.6256
0.6256 0.6256 0.6256
0.0000 0.0000 0.0000
0.2500 0.2500 0.2500
```

--- Q ---
## SrZnAg4 (PBE)

Data for a relaxed structure of SrZnAg4.

The structure in POSCAR format:
```
SrZnAg4
1.0
-4.2023 -1.3791 -1.9410
1.8291 -4.3905 -0.8407
-2.3661 -2.2763 6.7401
Ag Sr Zn
4 1 1
direct
0.0000 0.5000 0.5000
0.5000 0.5000 0.1742
0.5000 0.5000 0.8258
0.5000 0.0000 0.5000
0.0000 0.0000 0.0000
0.5000 0.5000 0.5000
```

--- R ---
## SrZnAg4 (PBE)

Data for a relaxed structure of SrZnAg4.

The structure in POSCAR format:
```
SrZnAg4
1.0
-0.7587 2.0381 3.5845
-4.4244 -5.5925 2.2434
6.4775 -3.7250 3.4890
Zn Ag Sr
2 8 2
direct
0.0000 0.7908 0.2500
0.0000 0.2092 0.7500
0.5000 0.6960 0.4429
0.0000 0.0000 0.5000
0.5000 0.0408 0.2500
0.5000 0.6960 0.0571
0.5000 0.3040 0.9429
0.5000 0.3040 0.5571
0.0000 0.0000 0.0000
0.5000 0.9592 0.7500
0.0000 0.6198 0.7500
0.0000 0.3802 0.2500
```

R is preferred energetically. Next in line: 3.3 kJ/mol of atoms higher.

--- P ---
## SrZn2Ag2 (PBE)

Data for a relaxed structure of SrZn2Ag2.

The structure in POSCAR format:
```
SrZn2Ag2
1.0
4.5645 0.0000 0.0000
0.0000 4.5645 0.0000
0.0000 0.0000 10.7814
Zn Ag Sr
4 4 2
direct
0.0000 0.5000 0.1277
0.5000 0.0000 0.8723
0.5000 0.5000 0.5000
0.0000 0.0000 0.5000
0.5000 0.0000 0.6303
0.0000 0.5000 0.3697
0.0000 0.0000 0.0000
0.5000 0.5000 0.0000
0.5000 0.0000 0.2486
0.0000 0.5000 0.7514
```

--- Q ---
## SrZn2Ag2 (PBE)

Data for a relaxed structure of SrZn2Ag2.

The structure in POSCAR format:
```
SrZn2Ag2
1.0
7.9826 0.0000 0.0000
0.0000 7.9826 0.0000
0.0000 0.0000 3.2499
Zn Ag Sr
4 4 2
direct
0.3846 0.8846 0.0000
0.6154 0.1154 0.0000
0.8846 0.6154 0.0000
0.1154 0.3846 0.0000
0.8215 0.3215 0.5000
0.6785 0.8215 0.5000
0.1785 0.6785 0.5000
0.3215 0.1785 0.5000
0.0000 0.0000 0.0000
0.5000 0.5000 0.0000
```

P is preferred energetically. Next in line: 14.7 kJ/mol of atoms higher.

--- P ---
## SrZnAg3 (PBE)

Data for a relaxed structure of SrZnAg3.

The structure in POSCAR format:
```
SrZnAg3
1.0
-2.2718 2.5547 4.5947
-5.9246 -3.0384 -1.2400
4.5943 -3.0227 3.9522
Ag Sr Zn
6 2 2
direct
0.7500 0.1928 0.3856
0.2500 0.3856 0.1928
0.2499 0.8072 0.1927
0.7500 0.6144 0.8073
0.2500 0.8072 0.6144
0.7501 0.1928 0.8073
0.2500 0.3333 0.6666
0.7500 0.6667 0.3334
0.0000 0.0000 0.0000
0.5000 0.0000 0.0000
```

--- Q ---
## SrZnAg3 (PBE)

Data for a relaxed structure of SrZnAg3.

The structure in POSCAR format:
```
SrZnAg3
1.0
4.5920 0.0000 0.0000
0.0000 9.3187 0.0000
0.0000 0.0000 10.6035
Sr Zn Ag
4 4 12
direct
0.2500 0.6882 0.4985
0.7500 0.3118 0.5015
0.7500 0.8118 0.9985
0.2500 0.1882 0.0015
0.7500 0.3895 0.1452
0.7500 0.8895 0.3548
0.2500 0.6105 0.8548
0.2500 0.1105 0.6452
0.2500 0.0607 0.3998
0.2500 0.3436 0.2851
0.7500 0.9393 0.6002
0.7500 0.1564 0.7851
0.2500 0.3791 0.7198
0.2500 0.8791 0.7802
0.2500 0.5607 0.1002
0.2500 0.8436 0.2149
0.7500 0.6209 0.2802
0.7500 0.1209 0.2198
0.7500 0.6564 0.7149
0.7500 0.4393 0.8998
```

--- R ---
## SrZnAg3 (PBE)

Data for a relaxed structure of SrZnAg3.

The structure in POSCAR format:
```
SrZnAg3
1.0
5.9751 0.0000 0.0000
0.0000 5.9751 0.0000
0.0000 0.0000 5.9751
Sr Ag Zn
1 3 1
direct
0.0000 0.0000 0.0000
0.0000 0.0000 0.5000
0.0000 0.5000 0.0000
0.5000 0.0000 0.0000
0.5000 0.5000 0.5000
```

--- S ---
## SrZnAg3 (PBE)

Data for a relaxed structure of SrZnAg3.

The structure in POSCAR format:
```
SrZnAg3
1.0
4.9948 0.0000 0.0000
0.0000 4.9948 0.0000
0.0000 0.0000 4.9948
Ag Sr Zn
3 1 1
direct
0.0000 0.5000 0.0000
0.0000 0.0000 0.5000
0.5000 0.0000 0.0000
0.5000 0.5000 0.5000
0.0000 0.0000 0.0000
```

P is preferred energetically. Next in line: 0.6 kJ/mol of atoms higher.

--- P ---
## SrZn4Ag2 (PBE)

Data for a relaxed structure of SrZn4Ag2.

The structure in POSCAR format:
```
SrZn4Ag2
1.0
4.8640 0.0037 2.6048
2.2559 4.8918 1.6344
0.1264 -0.3291 5.6176
Zn Ag Sr
4 2 1
direct
0.3118 0.3726 0.9994
0.6881 0.0006 0.6276
0.3119 0.9994 0.3724
0.6881 0.6275 0.0006
0.7484 0.5019 0.5019
0.2516 0.4981 0.4981
0.0000 0.0000 0.0000
```

--- Q ---
## SrZn4Ag2 (PBE)

Data for a relaxed structure of SrZn4Ag2.

The structure in POSCAR format:
```
SrZn4Ag2
1.0
0.1624 -0.7708 -6.1463
-3.5679 -3.4969 3.6660
-2.3526 5.6913 0.6869
Ag Zn Sr
2 4 1
direct
0.2500 0.7500 0.5000
0.7500 0.2500 0.5000
0.5000 0.7300 0.2300
0.5000 0.2700 0.7700
0.2700 0.5000 0.7700
0.7300 0.5000 0.2300
0.0000 0.0000 0.0000
```

P is preferred energetically. Next in line: 23.9 kJ/mol of atoms higher.

--- P ---
## Sr3Zn4Ag2 (PBE)

Data for a relaxed structure of Sr3Zn4Ag2.

The structure in POSCAR format:
```
Sr3Zn4Ag2
1.0
4.6388 -0.0016 -0.0146
2.3158 5.6420 0.2515
2.2910 2.5567 8.9288
Zn Sr Ag
4 3 2
direct
0.7331 0.6127 0.9243
0.2669 0.3873 0.0757
0.0921 0.4494 0.3657
0.9079 0.5506 0.6343
0.6157 0.1415 0.6272
0.3843 0.8585 0.3728
0.0000 0.0000 0.0000
0.3007 0.6363 0.7643
0.6993 0.3637 0.2357
```

--- Q ---
## Sr3Zn4Ag2 (PBE)

Data for a relaxed structure of Sr3Zn4Ag2.

The structure in POSCAR format:
```
Sr3Zn4Ag2
1.0
4.6264 0.0000 0.0000
-2.3132 5.6668 -1.4877
0.0000 -0.0458 9.0376
Zn Ag Sr
4 2 3
direct
0.2746 0.5492 0.9482
0.7254 0.4508 0.0518
0.9484 0.8968 0.6109
0.0516 0.1032 0.3891
0.3895 0.7789 0.7247
0.6105 0.2211 0.2753
0.0000 0.0000 0.0000
0.6686 0.3373 0.6658
0.3314 0.6627 0.3342
```

Q is preferred energetically. Next in line: 3.8 kJ/mol of atoms higher.